TiAl2Cr (GGA-PBE, optimized geometry); energy of formation from the pure elements = -154 meV/atom; ρ = 4.2 g/cm3; Fermi-level density of states = 0.6192 states/eV/atom; volume = 15.04 Å³ per atom
1.0
0.000 3.110 3.110
3.110 0.000 3.110
3.110 3.110 0.000
Cr Al Ti
1 2 1
Direct
0.500 0.500 0.500
0.750 0.750 0.750
0.250 0.250 0.250
0.000 0.000 0.000


In2Rh (GGA-PBE, optimized geometry); energy of formation from the pure elements = -106 meV/atom; ρ = 9.0 g/cm3; Fermi-level density of states = 0.6895 states/eV/atom; volume = 20.50 Å³ per atom
1.0
1.624 -2.813 0.000
1.624 2.813 0.000
0.000 0.000 6.730
In Rh
2 1
Direct
0.667 0.333 0.701
0.333 0.667 0.299
0.000 0.000 0.000


ErPu2US4 (GGA-PBE, optimized geometry); ρ = 10.1 g/cm3; energy = -9.334 eV/atom; Fermi-level density of states = 2.1062 states/eV/atom; volume = 21.01 Å³ per atom
1.0
3.871 0.000 0.000
0.000 6.749 0.128
0.000 -2.347 6.388
Pu S U Er
2 4 1 1
Direct
0.500 0.000 0.500
0.000 0.500 0.500
0.000 0.747 0.245
0.000 0.253 0.755
0.500 0.749 0.753
0.500 0.251 0.247
0.000 0.000 0.000
0.500 0.500 0.000


CaSb5 (GGA-PBE, optimized geometry); ρ = 6.1 g/cm3; energy = -3.784 eV/atom; Fermi-level density of states = 0.6169 states/eV/atom; volume = 29.41 Å³ per atom
1.0
0.000 4.452 4.452
4.452 0.000 4.452
4.452 4.452 0.000
Sb Ca
5 1
Direct
0.625 0.625 0.625
0.125 0.625 0.625
0.625 0.125 0.625
0.250 0.250 0.250
0.625 0.625 0.125
0.000 0.000 0.000


SrGaH3 (GGA-PBE, optimized geometry); ρ = 4.2 g/cm3; energy = -3.008 eV/atom; Fermi-level density of states = 0.2831 states/eV/atom; volume = 12.76 Å³ per atom
1.0
3.996 0.000 0.000
0.000 3.996 0.000
0.000 0.000 3.996
Ga H Sr
1 3 1
Direct
0.000 0.000 0.000
0.000 0.500 0.000
0.500 0.000 0.000
0.000 0.000 0.500
0.500 0.500 0.500


MgHg4Pb2 (GGA-PBE, optimized geometry); energy of formation from the pure elements = 124 meV/atom; ρ = 9.1 g/cm3; Fermi-level density of states = 0.3313 states/eV/atom; volume = 32.19 Å³ per atom
1.0
-1.849 4.500 2.268
-4.349 -2.646 1.703
6.808 -2.750 4.655
Hg Pb Mg
4 2 1
Direct
0.500 0.000 0.000
0.187 0.187 0.373
0.813 0.813 0.627
0.000 0.500 0.000
0.615 0.615 0.230
0.385 0.385 0.770
0.000 0.000 0.000


KInCu (GGA-PBE, optimized geometry); energy of formation from the pure elements = 344 meV/atom; ρ = 4.0 g/cm3; Fermi-level density of states = 0.7154 states/eV/atom; volume = 30.02 Å³ per atom
1.0
-4.111 2.016 2.086
-4.430 -2.353 -0.389
-2.074 -2.143 4.052
Cu In K
1 1 1
Direct
0.750 0.750 0.750
0.000 0.000 0.000
0.500 0.500 0.500


CsGa2Mo (GGA-PBE, optimized geometry); energy of formation from the pure elements = 666 meV/atom; ρ = 3.7 g/cm3; Fermi-level density of states = 1.1602 states/eV/atom; volume = 41.03 Å³ per atom
1.0
-3.903 -5.465 1.139
4.052 -3.730 -4.009
4.062 -6.279 4.159
Ga Cs Mo
4 2 2
Direct
0.375 0.626 0.750
0.374 0.125 0.250
0.875 0.624 0.750
0.376 0.625 0.250
0.750 0.250 0.500
0.000 0.000 0.000
0.250 0.750 0.500
0.500 0.500 0.000


LiTbMg2In4 (GGA-PBE, optimized geometry); energy of formation from the pure elements = -258 meV/atom; ρ = 6.0 g/cm3; Fermi-level density of states = 0.2832 states/eV/atom; volume = 23.45 Å³ per atom
1.0
-4.380 2.476 0.362
-2.456 0.150 4.403
1.914 7.984 3.685
In Mg Tb Li
4 2 1 1
Direct
0.130 0.130 0.611
0.384 0.384 0.848
0.616 0.616 0.152
0.870 0.870 0.389
0.749 0.749 0.753
0.251 0.251 0.247
0.000 0.000 0.000
0.500 0.500 0.500


NbCu (GGA-PBE, optimized geometry); energy of formation from the pure elements = 53 meV/atom; ρ = 8.5 g/cm3; Fermi-level density of states = 0.5366 states/eV/atom; volume = 15.23 Å³ per atom
1.0
2.645 0.000 -0.004
0.000 4.312 0.000
-1.299 0.000 5.342
Cu Nb
2 2
Direct
0.562 0.250 0.625
0.438 0.750 0.375
0.831 0.250 0.160
0.169 0.750 0.840


V4FePt4 (GGA-PBE, optimized geometry); energy of formation from the pure elements = -371 meV/atom; ρ = 13.5 g/cm3; Fermi-level density of states = 1.3621 states/eV/atom; volume = 14.20 Å³ per atom
1.0
-3.597 0.043 1.168
-1.198 -5.385 2.632
-0.105 2.155 5.719
V Pt Fe
4 4 1
Direct
0.667 0.333 0.333
0.333 0.667 0.667
0.000 0.333 0.667
0.000 0.667 0.333
0.666 0.668 0.000
0.334 0.000 0.332
0.334 0.332 0.000
0.666 0.000 0.668
0.000 0.000 0.000


Th4HgGeSb2 (GGA-PBE, optimized geometry); ρ = 9.7 g/cm3; energy = -6.022 eV/atom; Fermi-level density of states = 0.5456 states/eV/atom; volume = 31.03 Å³ per atom
1.0
4.391 0.000 0.000
0.000 7.725 -0.183
0.000 2.691 7.254
Hg Th Sb Ge
1 4 2 1
Direct
0.500 0.500 0.000
0.500 0.266 0.738
0.500 0.734 0.262
0.000 0.261 0.252
0.000 0.739 0.748
0.500 0.000 0.500
0.000 0.000 0.000
0.000 0.500 0.500


LaPa3Se6 (GGA-PBE, optimized geometry); ρ = 8.0 g/cm3; energy = -6.878 eV/atom; Fermi-level density of states = 1.2038 states/eV/atom; volume = 27.27 Å³ per atom
1.0
-1.791 1.316 3.382
0.299 -10.872 4.388
10.201 5.789 3.150
Se La Pa
12 2 6
Direct
0.750 0.806 0.749
0.250 0.874 0.533
0.250 0.194 0.251
0.750 0.126 0.467
0.750 0.908 0.104
0.250 0.268 0.727
0.750 0.732 0.273
0.250 0.502 0.375
0.750 0.498 0.625
0.750 0.379 0.050
0.250 0.621 0.950
0.250 0.092 0.896
0.750 0.050 0.693
0.250 0.950 0.307
0.250 0.556 0.161
0.750 0.140 0.075
0.250 0.860 0.925
0.250 0.322 0.504
0.750 0.678 0.496
0.750 0.444 0.839


BaCaRu2O8 (GGA-PBE, optimized geometry); ρ = 4.3 g/cm3; energy = -6.716 eV/atom; volume = 16.30 Å³ per atom
1.0
5.453 0.000 0.000
2.727 4.723 0.000
2.727 1.574 7.594
Ba Ru O Ca
1 2 8 1
Direct
0.500 0.500 0.500
0.747 0.747 0.759
0.253 0.253 0.241
0.288 0.944 0.185
0.056 0.417 0.815
0.583 0.288 0.185
0.944 0.583 0.185
0.826 0.826 0.522
0.417 0.712 0.815
0.712 0.056 0.815
0.174 0.174 0.478
0.000 0.000 0.000


RbBaH (GGA-PBE, optimized geometry); ρ = 2.5 g/cm3; energy = -2.231 eV/atom; Fermi-level density of states = 0.7440 states/eV/atom; volume = 49.28 Å³ per atom
1.0
4.532 0.000 0.000
0.012 6.837 -0.001
0.128 0.147 9.543
H Rb Ba
2 2 2
Direct
0.253 0.481 0.890
0.747 0.519 0.110
0.744 0.249 0.360
0.256 0.751 0.640
0.246 0.710 0.105
0.754 0.290 0.895


LiHfB (GGA-PBE, optimized geometry); energy of formation from the pure elements = 162 meV/atom; ρ = 6.3 g/cm3; Fermi-level density of states = 0.3546 states/eV/atom; volume = 17.21 Å³ per atom
1.0
-1.858 3.488 1.277
-0.955 -1.828 3.604
5.175 1.902 2.335
B Li Hf
2 2 2
Direct
0.000 0.000 0.500
0.500 0.500 0.500
0.000 0.500 0.192
0.500 0.000 0.808
0.500 0.000 0.346
0.000 0.500 0.654


TaPt3W (GGA-PBE, optimized geometry); energy of formation from the pure elements = 1388 meV/atom; ρ = 14.5 g/cm3; Fermi-level density of states = 1.9915 states/eV/atom; volume = 21.81 Å³ per atom
1.0
-1.191 -4.336 -1.614
2.400 -2.004 3.613
-3.956 0.090 2.677
Pt Ta W
3 1 1
Direct
0.000 0.000 0.500
0.500 0.000 0.000
0.000 0.500 0.000
0.500 0.500 0.500
0.000 0.000 0.000